Computed, not measured: a relaxed Dy2Ho3Al2 crystal at the PBE-GGA level of DFT.

The structure in extended XYZ format:
```
7
Lattice="2.626 1.516 7.782 -2.626 1.516 7.782 0.000 -3.032 7.782" Properties=species:S:1:pos:R:3 pbc="T T T"
Dy 0.000 0.000 1.921
Dy 0.000 0.000 21.425
Ho 0.000 0.000 8.108
Ho 0.000 0.000 11.673
Ho 0.000 0.000 15.238
Al 0.000 0.000 5.089
Al 0.000 0.000 18.258
```

Computed properties:
* calculated formation energy: -1.4 eV/f.u.
* DOS(E_F): 3.80 states/eV/f.u.
* ΔE to the lowest computed polymorph: 0.017 eV/atom
* VASP energy: -4.553 eV per atom
* symmetry: No. 166
* volume: 186 Å³/cell

Computed, not measured: a relaxed DyHo8Al2 crystal at the PBE-GGA level of DFT.

The structure in extended XYZ format:
```
11
Lattice="4.374 -7.283 0.000 4.374 7.283 0.000 -2.157 0.000 5.095" Properties=species:S:1:pos:R:3 pbc="T T T"
Dy 0.000 0.000 0.000
Ho 0.490 1.729 3.121
Ho 4.374 4.031 0.000
Ho 0.490 -1.729 3.121
Ho 3.086 0.000 1.040
Ho 3.506 0.000 4.056
Ho 6.101 1.729 1.975
Ho 4.374 -4.031 0.000
Ho 6.101 -1.729 1.975
Al 3.296 2.798 2.548
Al 3.296 -2.798 2.548
```

Computed properties:
* calculated formation energy: 0.1 eV/f.u.
* DOS(E_F): 15.21 states/eV/f.u.
* ΔE to the lowest computed polymorph: 0.119 eV/atom
* VASP energy: -4.418 eV per atom
* symmetry: No. 12
* volume: 325 Å³/cell

Computed, not measured: a relaxed Dy15Ho4Al crystal at the PBE-GGA level of DFT.

The structure in extended XYZ format:
```
20
Lattice="4.937 0.000 0.000 0.000 4.937 0.000 0.000 0.000 24.968" Properties=species:S:1:pos:R:3 pbc="T T T"
Dy 0.000 0.000 0.000
Dy 0.000 0.000 4.850
Dy 0.000 0.000 9.939
Dy 0.000 0.000 15.030
Dy 0.000 0.000 20.119
Dy 0.000 2.469 2.345
Dy 0.000 2.469 7.416
Dy 0.000 2.469 12.484
Dy 0.000 2.469 17.552
Dy 0.000 2.469 22.623
Dy 2.469 0.000 2.345
Dy 2.469 0.000 7.416
Dy 2.469 0.000 12.484
Dy 2.469 0.000 17.552
Dy 2.469 0.000 22.623
Ho 2.469 2.469 4.898
Ho 2.469 2.469 9.956
Ho 2.469 2.469 15.013
Ho 2.469 2.469 20.070
Al 2.469 2.469 0.000
```

Computed properties:
* calculated formation energy: -0.3 eV/f.u.
* DOS(E_F): 23.88 states/eV/f.u.
* VASP energy: -4.567 eV per atom
* symmetry: No. 123
* volume: 609 Å³/cell

Computed, not measured: a relaxed DyHoAl4 crystal at the PBE-GGA level of DFT.

The structure in extended XYZ format:
```
6
Lattice="0.000 3.928 3.928 3.928 0.000 3.928 3.928 3.928 0.000" Properties=species:S:1:pos:R:3 pbc="T T T"
Dy 0.000 0.000 0.000
Ho 1.964 1.964 1.964
Al 4.909 2.946 2.946
Al 2.946 4.909 2.946
Al 2.946 2.946 4.909
Al 4.909 4.909 4.909
```

Computed properties:
* calculated formation energy: -3.1 eV/f.u.
* DOS(E_F): 4.38 states/eV/f.u.
* VASP energy: -4.548 eV per atom
* symmetry: No. 216
* volume: 121 Å³/cell